The following is a PBE-GGA calculation of a geometry-optimized MgCuTc2 structure, from Alexandria.

Cell: 8.7922 2.7274 4.9580 Å, 90.00 96.57 90.00°
Closest atoms and distances in Å follow each position.
Space group Cm (No. 8)
Inequivalent atoms, fractional coordinates:
Mg 0.0000 0.0000 0.0000 x2  3 Cu 2.53-2.68, 2 Mg 2.73, 5 Tc 2.77-2.83
Cu 0.2511 0.0000 0.7966 x2  3 Mg 2.53-2.68, 2 Cu 2.73, 4 Tc 2.76-2.77
Tc 0.0139 0.5000 0.5030 x2  5 Tc 2.44-2.73
Tc 0.2577 0.5000 0.3110 x2  5 Tc 2.44-2.73

Calculated values
The calculation puts the calculated formation energy at 176.4 meV/atom. The total DFT energy (no corrections) is -51.43 eV/cell.


The following is a PBE-GGA calculation of a geometry-optimized PrGd2Sc structure, from Alexandria.

Cell: 3.5910 3.5910 9.7169 Å, 90.00 90.00 90.00°
Closest atoms and distances in Å follow each position.
Space group P4/mmm (No. 123)
Inequivalent atoms, fractional coordinates:
Pr 0.0000 0.0000 0.0000 x1  4 Pr 3.59, 8 Gd 3.65
Gd 0.5000 0.5000 0.2696 x2  4 Sc 3.39, 4 Gd 3.59, 4 Pr 3.65
Sc 0.0000 0.0000 0.5000 x1  8 Gd 3.39, 4 Sc 3.59

Calculated values
The calculation puts the calculated formation energy at 50.3 meV/atom. The total DFT energy (no corrections) is -39.07 eV/cell.


The following is a PBE-GGA calculation of a geometry-optimized SmDy2TmTe6 structure, from Alexandria.

Cell: 7.7112 7.7112 21.1027 Å, 90.00 90.00 120.00°
Closest atoms and distances in Å follow each position.
Space group R3 (No. 146, hexagonal axes)
Inequivalent atoms, fractional coordinates:
Sm 0.0000 0.0000 0.0000 x3  6 Te 3.11-3.17
Dy 0.0000 0.0000 0.3122 x3  6 Te 3.07-3.11
Dy 0.0000 0.0000 0.8135 x3  6 Te 3.06-3.11
Tm 0.0000 0.0000 0.4982 x3  6 Te 3.04-3.07
Te 0.0063 0.6939 0.4064 x9  2 Dy 3.06-3.11, 1 Tm 3.07, 1 Sm 3.11
Te 0.0169 0.3484 0.5712 x9  1 Tm 3.04, 2 Dy 3.07-3.11, 1 Sm 3.17

Calculated values
The total DFT energy (no corrections) is -152.43 eV/cell. Its formation energy (no corrections) is -13.564 eV per formula unit.


The following is a PBE-GGA calculation of a geometry-optimized Nd5Sm2 structure, from Alexandria.

Cell: 5.8226 5.8226 24.9161 Å, 90.00 90.00 120.00°
Closest atoms and distances in Å follow each position.
Space group R-3m (No. 166, hexagonal axes)
Inequivalent atoms, fractional coordinates:
Nd 0.0000 0.0000 0.0000 x3  6 Nd 3.50, 2 Sm 3.87
Nd 0.0000 0.0000 0.2947 x6  7 Nd 3.41-3.67, 1 Sm 3.47
Nd 0.0000 0.0000 0.4316 x6  5 Nd 3.41-3.67, 3 Sm 3.65
Sm 0.0000 0.0000 0.1555 x6  3 Sm 3.41, 4 Nd 3.47-3.65

Calculated values
The calculation puts the calculated formation energy at 128.4 meV/atom. The total DFT energy (no corrections) is -97.14 eV/cell.